SrTaBr3 after structural relaxation. Source: the Alexandria database, functional GGA-PBE.

Output
ΔE_f (raw) ... -338 meV per atom
DOS(E_F) ... 0.77 states/eV/atom
Distance to the lowest polymorph of the same formula ... 0.0000 eV/atom
E ... -4.049 eV/atom
ρ ... 5.53 Mg/m³

Unit cell a=5.3444 b=5.3444 c=5.3444 alpha=90.00 beta=90.00 gamma=90.00
Last column: nearest neighbours and their distance in Å.
Fractional coordinates of all 5 atoms:
Sr1 0.5000 0.5000 0.5000  12 Br 3.78
Ta1 0.0000 0.0000 0.0000  6 Br 2.67
Br1 0.5000 0.0000 0.0000  2 Ta 2.67
Br2 0.0000 0.0000 0.5000  2 Ta 2.67
Br3 0.0000 0.5000 0.0000  2 Ta 2.67


Ru2Pt6Rh after structural relaxation. Source: the Alexandria database, functional GGA-PBE.

Output
Energy relative to the elements ... 0 kJ per mole of atoms
DOS(E_F) ... 1.34 states/eV/atom
E ... -6.909 eV/atom
ρ ... 18.02 Mg/m³

Unit cell a=2.7827 b=7.3175 c=8.3068 alpha=124.32 beta=90.00 gamma=100.96
Last column: nearest neighbours and their distance in Å.
Fractional coordinates of all 9 atoms:
Pt1 0.0036 0.0071 0.8302  1 Rh 2.71, 2 Ru 2.74, 9 Pt 2.78-2.88
Ru1 0.6712 0.3425 0.8414  4 Ru 2.67-2.78, 6 Pt 2.70-2.76, 2 Rh 2.83
Pt2 0.3312 0.6625 0.8355  3 Ru 2.70-2.71, 9 Pt 2.77-2.86
Pt3 0.9964 0.9929 0.1698  1 Rh 2.71, 2 Ru 2.74, 9 Pt 2.78-2.88
Rh1 0.0000 0.0000 0.5000  6 Pt 2.71-2.73, 2 Rh 2.78, 4 Ru 2.83
Ru2 0.3287 0.6575 0.1587  4 Ru 2.67-2.78, 6 Pt 2.70-2.76, 2 Rh 2.83
Pt4 0.6687 0.3375 0.1645  3 Ru 2.70-2.71, 9 Pt 2.77-2.86
Pt5 0.6648 0.3297 0.5033  2 Rh 2.73, 1 Ru 2.76, 9 Pt 2.77-2.85
Pt6 0.3352 0.6704 0.4967  2 Rh 2.73, 1 Ru 2.76, 9 Pt 2.77-2.85


NbSb2RuPt after structural relaxation. Source: the Alexandria database, functional GGA-PBE.

Output
ΔE_f (raw) ... 1145 meV per atom
DOS(E_F) ... 0.95 states/eV/atom
E ... -5.582 eV/atom
ρ ... 8.21 Mg/m³

Unit cell a=5.2517 b=4.6395 c=5.2517 alpha=90.00 beta=90.00 gamma=90.00
Last column: nearest neighbours and their distance in Å.
Fractional coordinates of all 5 atoms:
Nb1 0.0000 0.0000 0.0000  2 Ru 2.32
Pt1 0.5000 0.5000 0.5000  8 Sb 3.50, 4 Ru 3.71
Ru1 0.0000 0.5000 0.0000  2 Nb 2.32
Sb1 0.5000 0.0000 0.0000  2 Nb 2.63
Sb2 0.0000 0.0000 0.5000  2 Nb 2.63


DyHoTm2Bi4 after structural relaxation. Source: the Alexandria database, functional GGA-PBE.

Output
Energy relative to the elements ... -79 kJ per mole of atoms
DOS(E_F) ... 0.16 states/eV/atom
E ... -5.020 eV/atom
ρ ... 10.01 Mg/m³

Unit cell a=4.4513 b=7.7030 c=7.7024 alpha=109.47 beta=90.00 gamma=90.00
Last column: nearest neighbours and their distance in Å.
Fractional coordinates of all 8 atoms:
Dy1 0.0000 0.0000 0.0000  6 Bi 3.16
Bi1 0.0000 0.7504 0.2526  3 Tm 3.13-3.14, 2 Ho 3.16, 1 Dy 3.16
Bi2 0.5000 0.7485 0.7471  3 Tm 3.13-3.14, 1 Ho 3.15, 2 Dy 3.16
Tm1 0.0000 0.5000 0.5000  6 Bi 3.13
Bi3 0.5000 0.2515 0.2529  3 Tm 3.13-3.14, 1 Ho 3.15, 2 Dy 3.16
Bi4 0.0000 0.2496 0.7474  3 Tm 3.13-3.14, 2 Ho 3.16, 1 Dy 3.16
Ho1 0.5000 0.5000 0.0000  6 Bi 3.15-3.16
Tm2 0.5000 0.0000 0.5000  6 Bi 3.14


Li2HAu after structural relaxation. Source: the Alexandria database, functional GGA-PBE.

Output
DOS(E_F) ... 0.15 states/eV/atom
Distance to the lowest polymorph of the same formula ... 0.0000 eV/atom
E ... -3.020 eV/atom
ρ ... 7.01 Mg/m³

Unit cell a=5.4112 b=7.5282 c=4.9282 alpha=90.00 beta=90.00 gamma=91.13
Last column: nearest neighbours and their distance in Å.
Fractional coordinates of all 16 atoms:
H1 0.6504 0.0776 0.2992  5 Li 1.87-2.04
H2 0.3496 0.9224 0.7008  5 Li 1.87-2.04
Li1 0.0694 0.7373 0.6969  2 H 1.92-2.04
Li2 0.4306 0.2628 0.1969  2 H 1.92-2.04
Li3 0.1207 0.0892 0.8160  3 H 1.87-1.91
Li4 0.5694 0.7372 0.8031  2 H 1.92-2.04
H3 0.1504 0.0776 0.2008  5 Li 1.87-2.04
Au1 0.8357 0.4048 0.8038  6 Li 2.69-2.91, 5 Au 2.76-3.01
Li5 0.3793 0.9108 0.3160  3 H 1.87-1.91
Au2 0.6643 0.5952 0.3038  6 Li 2.69-2.91, 5 Au 2.76-3.01
Au3 0.3357 0.4048 0.6962  6 Li 2.69-2.91, 5 Au 2.76-3.01
Li6 0.6207 0.0892 0.6840  3 H 1.87-1.91
Li7 0.9306 0.2627 0.3031  2 H 1.92-2.04
Au4 0.1643 0.5952 0.1962  6 Li 2.69-2.91, 5 Au 2.76-3.01
Li8 0.8793 0.9108 0.1840  3 H 1.87-1.91
H4 0.8496 0.9224 0.7992  5 Li 1.87-2.04


Sm6Ge2Te3Pb after structural relaxation. Source: the Alexandria database, functional GGA-PBE.

Output
ΔE_f (raw) ... -1137 meV per atom
DOS(E_F) ... 0.21 states/eV/atom
E ... -5.361 eV/atom
ρ ... 7.47 Mg/m³

Unit cell a=4.3741 b=8.8929 c=9.8828 alpha=103.48 beta=102.79 gamma=90.00
Last column: nearest neighbours and their distance in Å.
Fractional coordinates of all 12 atoms:
Ge1 0.1679 0.3356 0.3358  6 Sm 2.97-3.00
Sm1 0.3266 0.4314 0.6531  3 Ge 2.97-3.00, 3 Te 3.24-3.25
Sm2 0.0088 0.2533 0.0176  1 Ge 2.98, 2 Pb 3.11, 3 Te 3.13-3.24
Pb1 0.5000 0.0000 0.0000  6 Sm 3.11-3.15
Ge2 0.8321 0.6644 0.6642  6 Sm 2.97-3.00
Sm3 0.6680 0.1056 0.3359  2 Ge 2.99, 1 Pb 3.15, 3 Te 3.15-3.26
Sm4 0.9912 0.7467 0.9824  1 Ge 2.98, 2 Pb 3.11, 3 Te 3.13-3.24
Sm5 0.6734 0.5686 0.3469  3 Ge 2.97-3.00, 3 Te 3.24-3.25
Sm6 0.3320 0.8944 0.6641  2 Ge 2.99, 1 Pb 3.15, 3 Te 3.15-3.26
Te1 0.8359 0.1676 0.6717  6 Sm 3.15-3.26
Te2 0.5000 0.5000 0.0000  6 Sm 3.13-3.25
Te3 0.1641 0.8324 0.3283  6 Sm 3.15-3.26


Y2CdSnF after structural relaxation. Source: the Alexandria database, functional GGA-PBE.

Output
ΔE_f (raw) ... -1038 meV per atom
DOS(E_F) ... 1.06 states/eV/atom
E ... -4.981 eV/atom
ρ ... 6.17 Mg/m³

Unit cell a=4.8702 b=4.8534 c=4.8702 alpha=90.00 beta=90.00 gamma=90.00
Last column: nearest neighbours and their distance in Å.
Fractional coordinates of all 5 atoms:
Sn1 0.5000 0.5000 0.5000  8 Y 3.44, 4 Cd 3.44
F1 0.0000 0.0000 0.0000  2 Cd 2.43, 4 Y 2.44
Cd1 0.0000 0.5000 0.0000  2 F 2.43
Y1 0.5000 0.0000 0.0000  2 F 2.44
Y2 0.0000 0.0000 0.5000  2 F 2.44


PaCr2H9 after structural relaxation. Source: the Alexandria database, functional GGA-PBE.

Output
DOS(E_F) ... 0.33 states/eV/atom
E ... -4.839 eV/atom
ρ ... 7.63 Mg/m³

Unit cell a=4.8318 b=6.0705 c=6.0705 alpha=80.89 beta=66.55 gamma=66.55
Last column: nearest neighbours and their distance in Å.
Fractional coordinates of all 24 atoms:
Cr1 0.3750 0.7500 0.7500  8 H 1.82-1.86
H1 0.7378 0.8157 0.5729  2 Cr 1.82-1.86, 5 H 1.91-2.01
H2 0.0606 0.3157 0.9271  2 Cr 1.82-1.86, 5 H 1.91-2.01
H3 0.0122 0.6843 0.9271  2 Cr 1.82-1.86, 5 H 1.91-2.01
H4 0.1263 0.1843 0.4271  2 Cr 1.82-1.86, 5 H 1.91-2.01
H5 0.6237 0.3157 0.0729  2 Cr 1.82-1.86, 5 H 1.91-2.01
H6 0.6894 0.1843 0.5729  2 Cr 1.82-1.86, 5 H 1.91-2.01
H7 0.3034 0.0729 0.6843  2 Cr 1.82-1.86, 5 H 1.91-2.01
H8 0.0606 0.9271 0.3157  2 Cr 1.82-1.86, 5 H 1.91-2.01
Cr2 0.8750 0.7500 0.2500  8 H 1.82-1.86
H9 0.7500 0.5000 0.5000  8 H 2.01, 4 Cr 2.06
Cr3 0.8750 0.2500 0.7500  8 H 1.82-1.86
H10 0.4466 0.8157 0.4271  2 Cr 1.82-1.86, 5 H 1.91-2.01
Cr4 0.8750 0.2500 0.2500  8 H 1.82-1.86
H11 0.0000 0.0000 0.0000  8 H 2.01, 4 Cr 2.06
H12 0.0122 0.9271 0.6843  2 Cr 1.82-1.86, 5 H 1.91-2.01
H13 0.4466 0.4271 0.8157  2 Cr 1.82-1.86, 5 H 1.91-2.01
Pa1 0.5000 0.0000 0.0000  18 H 2.37-2.61
Pa2 0.2500 0.5000 0.5000  18 H 2.37-2.61
H14 0.6237 0.0729 0.3157  2 Cr 1.82-1.86, 5 H 1.91-2.01
H15 0.1263 0.4271 0.1843  2 Cr 1.82-1.86, 5 H 1.91-2.01
H16 0.6894 0.5729 0.1843  2 Cr 1.82-1.86, 5 H 1.91-2.01
H17 0.7378 0.5729 0.8157  2 Cr 1.82-1.86, 5 H 1.91-2.01
H18 0.3034 0.6843 0.0729  2 Cr 1.82-1.86, 5 H 1.91-2.01


Pr3CuAu2 after structural relaxation. Source: the Alexandria database, functional GGA-PBE.

Output
Energy relative to the elements ... -44 kJ per mole of atoms
DOS(E_F) ... 0.63 states/eV/atom
E ... -4.620 eV/atom
ρ ... 8.84 Mg/m³

Unit cell a=7.6885 b=7.6126 c=6.9285 alpha=99.48 beta=123.70 gamma=90.00
Last column: nearest neighbours and their distance in Å.
Fractional coordinates of all 12 atoms:
Au1 0.1682 0.4031 0.6697  1 Cu 2.72, 1 Au 2.96, 4 Pr 3.00-3.04
Cu1 0.8275 0.7500 0.0000  2 Au 2.72, 3 Pr 2.90-3.04
Pr1 0.4318 0.7500 0.0000  4 Au 3.02-3.03, 1 Cu 3.04
Cu2 0.1725 0.2500 0.0000  2 Au 2.72, 3 Pr 2.90-3.04
Pr2 0.2233 0.5718 0.3244  2 Cu 2.90-3.09, 3 Au 3.00-3.11
Au2 0.5015 0.9031 0.6697  1 Cu 2.72, 1 Au 2.96, 4 Pr 3.00-3.04
Pr3 0.7767 0.4282 0.6756  2 Cu 2.90-3.09, 3 Au 3.00-3.11
Pr4 0.1011 0.0718 0.3244  2 Cu 2.90-3.09, 3 Au 3.00-3.11
Pr5 0.5682 0.2500 0.0000  4 Au 3.02-3.03, 1 Cu 3.04
Pr6 0.8989 0.9282 0.6756  2 Cu 2.90-3.09, 3 Au 3.00-3.11
Au3 0.8318 0.5969 0.3303  1 Cu 2.72, 1 Au 2.96, 4 Pr 3.00-3.04
Au4 0.4985 0.0969 0.3303  1 Cu 2.72, 1 Au 2.96, 4 Pr 3.00-3.04


Which spin magnetization belongs to each record? In order, 0.544; 0.000; 0.039; 0.000; 0.000; 0.000; 0.000; 0.000; 0.000 μB/atom.